Entry 1:
CdMoCl2F (PBEsol, relaxed); DFT total energy = -3.921 eV per atom; SG = P4/mmm (123); uncorrected formation energy = -0.139 eV/atom; total moment = 4.998 μB per formula unit; Fermi-level density of states = 0.344 states/eV/atom
1.0
5.1497 0.0000 0.0000
0.0000 5.1497 0.0000
0.0000 0.0000 4.1868
Cd Mo Cl F
1 1 2 1
Direct
0.0000 0.0000 0.0000 Cd
0.5000 0.5000 0.5000 Mo
0.0000 0.5000 0.0000 Cl
0.5000 0.0000 0.0000 Cl
0.0000 0.0000 0.5000 F



Entry 2:
LiPt3S (PBEsol, relaxed); DFT total energy = -5.353 eV per atom; SG = Pm-3m (221); uncorrected formation energy = 0.095 eV/atom; total moment = 0.000 μB per formula unit; Fermi-level density of states = 0.583 states/eV/atom
1.0
4.4576 0.0000 0.0000
0.0000 4.4576 0.0000
0.0000 0.0000 4.4576
Li Pt S
1 3 1
Direct
0.0000 0.0000 0.0000 Li
0.0000 0.5000 0.5000 Pt
0.5000 0.0000 0.5000 Pt
0.5000 0.5000 0.0000 Pt
0.5000 0.5000 0.5000 S



Entry 3:
ZrZnIr (PBEsol, relaxed); DFT total energy = -7.369 eV per atom; SG = Imm2 (44); total moment = 0.000 μB per formula unit; energy of formation = -0.54 eV per atom; Fermi-level density of states = 0.465 states/eV/atom
1.0
-1.5202 1.8643 4.2759
1.5202 -1.8643 4.2759
1.5202 1.8643 -4.2759
Zr Zn Ir
1 1 1
Direct
0.0000 0.0000 0.0000 Zr
0.3208 0.3208 0.0000 Zn
0.6667 0.6667 0.0000 Ir



Entry 4:
Nb3Pb2O8F4 (PBEsol, relaxed); DFT total energy = -7.631 eV per atom; SG = I4/mmm (139); uncorrected formation energy = -2.327 eV/atom; total moment = 0.004 μB per formula unit; Fermi-level density of states = 0.416 states/eV/atom
1.0
-1.9518 1.9518 16.1808
1.9518 -1.9518 16.1808
1.9518 1.9518 -16.1808
Nb Pb O F
3 2 8 4
Direct
0.0000 0.0000 0.0000 Nb
0.1196 0.1196 0.0000 Nb
0.8804 0.8804 0.0000 Nb
0.2972 0.2972 0.0000 Pb
0.7028 0.7028 0.0000 Pb
0.0000 0.5000 0.5000 O
0.0626 0.0626 0.0000 O
0.1307 0.6307 0.5000 O
0.3693 0.8693 0.5000 O
0.5000 0.0000 0.5000 O
0.6307 0.1307 0.5000 O
0.8693 0.3693 0.5000 O
0.9374 0.9374 0.0000 O
0.1878 0.1878 0.0000 F
0.2500 0.7500 0.5000 F
0.7500 0.2500 0.5000 F
0.8122 0.8122 0.0000 F



Entry 5:
BaMnPt2 (PBEsol, relaxed); DFT total energy = -6.250 eV per atom; SG = I-4m2 (119); total moment = 4.715 μB per formula unit; energy of formation = 0.21 eV per atom; Fermi-level density of states = 0.440 states/eV/atom
1.0
-2.1143 2.1143 4.5049
2.1143 -2.1143 4.5049
2.1143 2.1143 -4.5049
Ba Mn Pt
1 1 2
Direct
0.0000 0.0000 0.0000 Ba
0.7500 0.2500 0.5000 Mn
0.2500 0.7500 0.5000 Pt
0.5000 0.5000 0.0000 Pt



Entry 6:
YCrOs2 (PBEsol, relaxed); DFT total energy = -9.915 eV per atom; SG = R-3m (166); excess energy over the best structure of this formula in the dataset = 75.7 meV per atom; total moment = 0.003 μB per formula unit; energy of formation = 0.46 eV per atom; Fermi-level density of states = 1.125 states/eV/atom
1.0
1.3935 0.8045 9.1709
-1.3935 0.8045 9.1709
0.0000 -1.6091 9.1709
Y Cr Os
1 1 2
Direct
0.0000 0.0000 0.0000 Y
0.5000 0.5000 0.5000 Cr
0.2381 0.2381 0.2381 Os
0.7619 0.7619 0.7619 Os



Entry 7:
ZnSiHg (PBEsol, relaxed); DFT total energy = -2.319 eV per atom; SG = P3m1 (156); uncorrected formation energy = 0.312 eV/atom; total moment = 0.000 μB per formula unit; Fermi-level density of states = 0.377 states/eV/atom
1.0
4.0966 0.0000 0.0000
-2.0483 3.5477 0.0000
0.0000 0.0000 3.8764
Zn Si Hg
1 1 1
Direct
0.0000 0.0000 0.0000 Zn
0.3333 0.6667 0.8385 Si
0.6667 0.3333 0.4146 Hg



Entry 8:
Rb2HCl (PBEsol, relaxed); DFT total energy = -2.822 eV per atom; SG = Fm-3m (225); excess energy over the best structure of this formula in the dataset = 0.0 meV per atom; total moment = 0.048 μB per formula unit; Fermi-level density of states = 0.000 states/eV/atom
1.0
0.0000 3.7658 3.7658
3.7658 0.0000 3.7658
3.7658 3.7658 0.0000
Rb H Cl
2 1 1
Direct
0.2500 0.2500 0.2500 Rb
0.7500 0.7500 0.7500 Rb
0.0000 0.0000 0.0000 H
0.5000 0.5000 0.5000 Cl